No. 1
## RuN2Cl6 (GGA-PBE)

Data for an optimized crystal structure of RuN2Cl6.

Lattice parameters (Å, degrees): 9.0812 9.0812 9.0812 43.67 43.67 43.67
Closest atoms and distances in Å follow each position.
Fractional coordinates of all 9 atoms:
Ru: 0.0000 0.0000 0.0000  1 N 1.63
N: 0.5423 0.5423 0.5423  3 Cl 1.78
N: 0.9336 0.9336 0.9336  1 Ru 1.63
Cl: 0.0181 0.7334 0.3511  1 Ru 2.25
Cl: 0.3011 0.4626 0.7844  1 N 1.78
Cl: 0.3511 0.0181 0.7334  1 Ru 2.25
Cl: 0.4626 0.7844 0.3011  1 N 1.78
Cl: 0.7334 0.3511 0.0181  1 Ru 2.25
Cl: 0.7844 0.3011 0.4626  1 N 1.78

Values from the calculation:
ΔE_f (raw)	0.2319	eV per atom
DFT total energy	-3.880	eV per atom
symmetry	No. 146

=====

No. 2
## RuS2NCl (GGA-PBE)

Data for an optimized crystal structure of RuS2NCl.

Lattice parameters (Å, degrees): 4.1846 4.1846 4.0291 90.00 90.00 90.00
Closest atoms and distances in Å follow each position.
Fractional coordinates of all 5 atoms:
Ru: 0.0000 0.0000 0.0000  8 S 2.90, 4 Cl 2.96
S: 0.0000 0.5000 0.5000  2 N 2.09
S: 0.5000 0.0000 0.5000  2 N 2.09
N: 0.5000 0.5000 0.5000  2 Cl 2.01, 4 S 2.09
Cl: 0.5000 0.5000 0.0000  2 N 2.01

Values from the calculation:
ΔE_f (raw)	1.4597	eV per atom
DFT total energy	-4.081	eV per atom
symmetry	No. 123

=====

No. 3
## RuSNCl2 (GGA-PBE)

Data for an optimized crystal structure of RuSNCl2.

Lattice parameters (Å, degrees): 4.7753 4.7753 4.4195 90.00 90.00 90.00
Closest atoms and distances in Å follow each position.
Fractional coordinates of all 5 atoms:
Ru: 0.0000 0.0000 0.0000  2 S 2.21, 4 Cl 2.39
S: 0.0000 0.0000 0.5000  2 Ru 2.21
N: 0.5000 0.5000 0.5000  8 Cl 3.25, 4 S 3.38
Cl: 0.0000 0.5000 0.0000  2 Ru 2.39
Cl: 0.5000 0.0000 0.0000  2 Ru 2.39

Values from the calculation:
ΔE_f (raw)	1.4015	eV per atom
DFT total energy	-3.683	eV per atom
symmetry	No. 123

=====

No. 4
## RuS2NCl (GGA-PBE)

Data for an optimized crystal structure of RuS2NCl.

Lattice parameters (Å, degrees): 4.8105 4.8105 3.6898 90.00 90.00 90.00
Closest atoms and distances in Å follow each position.
Fractional coordinates of all 5 atoms:
Ru: 0.0000 0.0000 0.0000  2 N 1.84
S: 0.0000 0.5000 0.0000  2 Ru 2.41
S: 0.5000 0.0000 0.0000  2 Ru 2.41
N: 0.0000 0.0000 0.5000  2 Ru 1.84
Cl: 0.5000 0.5000 0.5000  8 S 3.03

Values from the calculation:
ΔE_f (raw)	0.7017	eV per atom
DFT total energy	-4.839	eV per atom
symmetry	No. 123

=====

No. 5
## RuSNCl2 (GGA-PBE)

Data for an optimized crystal structure of RuSNCl2.

Lattice parameters (Å, degrees): 4.1942 4.1942 4.5780 90.00 90.00 90.00
Closest atoms and distances in Å follow each position.
Fractional coordinates of all 5 atoms:
Ru: 0.0000 0.0000 0.0000  4 S 2.97, 8 Cl 3.10
S: 0.5000 0.5000 0.0000  2 N 2.29
N: 0.5000 0.5000 0.5000  4 Cl 2.10, 2 S 2.29
Cl: 0.0000 0.5000 0.5000  2 N 2.10
Cl: 0.5000 0.0000 0.5000  2 N 2.10

Values from the calculation:
ΔE_f (raw)	1.4868	eV per atom
DFT total energy	-3.598	eV per atom
symmetry	No. 123

=====

No. 6
## RuS2NCl (GGA-PBE)

Data for an optimized crystal structure of RuS2NCl.

Lattice parameters (Å, degrees): 4.7139 4.7139 3.2474 90.00 90.00 90.00
Closest atoms and distances in Å follow each position.
Fractional coordinates of all 5 atoms:
Ru: 0.0000 0.0000 0.0000  8 S 2.86
S: 0.0000 0.5000 0.5000  2 Cl 2.36
S: 0.5000 0.0000 0.5000  2 Cl 2.36
N: 0.5000 0.5000 0.0000  2 Cl 1.62
Cl: 0.5000 0.5000 0.5000  2 N 1.62

Values from the calculation:
ΔE_f (raw)	1.9159	eV per atom
DFT total energy	-3.625	eV per atom
symmetry	No. 123

=====

Number 1: volume 36.01 A^3/atom, magnetization 2.00 Bohr magnetons per cell. Number 2: volume 14.11 A^3/atom, magnetization 1.52 Bohr magnetons per cell. Number 3: volume 20.16 A^3/atom, magnetization 0.00 Bohr magnetons per cell. Number 4: volume 17.08 A^3/atom, magnetization 0.00 Bohr magnetons per cell. Number 5: volume 16.11 A^3/atom, magnetization 3.54 Bohr magnetons per cell. Number 6: volume 14.43 A^3/atom, magnetization 0.00 Bohr magnetons per cell.